Entry 1:
# GeTe2P2

A geometry-optimized GeTe2P2 structure (PBE, the Alexandria database).

abc: 5.459 5.459 5.488
angles: 60.18 60.18 90.00
Element x y z (fractional)
P: 0.351 0.351 0.297
P: 0.649 0.649 0.703
Ge: 0.000 0.000 0.000
Te: 0.750 0.250 0.500
Te: 0.250 0.750 0.500

Summary:
Crystal system: tetragonal


Entry 2:
# In2GaBr2

A geometry-optimized In2GaBr2 structure (PBE, the Alexandria database).

abc: 8.126 4.120 19.453
angles: 90.00 101.44 90.00
Element x y z (fractional)
Br: 0.456 0.500 0.397
Br: 0.050 0.500 0.595
Br: 0.456 0.000 0.897
Br: 0.950 0.500 0.405
Br: 0.544 0.500 0.603
Br: 0.050 0.000 0.095
Br: 0.544 0.000 0.103
Br: 0.950 0.000 0.905
Ga: 0.406 0.000 0.763
Ga: 0.406 0.500 0.263
Ga: 0.594 0.500 0.737
Ga: 0.594 0.000 0.237
In: 0.748 0.500 0.993
In: 0.143 0.000 0.242
In: 0.143 0.500 0.742
In: 0.252 0.000 0.507
In: 0.748 0.000 0.493
In: 0.252 0.500 0.007
In: 0.857 0.000 0.758
In: 0.857 0.500 0.258

Summary:
Crystal system: monoclinic


The DOS at the Fermi energy results, record by record, are as follows: 3.05, 4.33 states/eV per cell.
The raw total energy results, record by record, are as follows: -3.930, -2.821 eV per atom.
The raw formation energy results, record by record, are as follows: 0.415, -0.451 eV per atom.